Entry 1:
# AlAs3Se (GGA-PBE, relaxed)
data_AlAs3Se
_chemical_formula_sum 'Al1 As3 Se1'
_cell_length_a 4.8373
_cell_length_b 4.8373
_cell_length_c 4.8373
_cell_angle_alpha 90.00
_cell_angle_beta 90.00
_cell_angle_gamma 90.00
_symmetry_space_group_name_H-M 'P m -3 m'
_symmetry_Int_Tables_number 221
_symmetry_space_group_name_Hall '-P 4 2 3'
loop_
_atom_site_label
_atom_site_fract_x
_atom_site_fract_y
_atom_site_fract_z
Al1 0.0000 0.0000 0.0000
As1 0.0000 0.0000 0.5000
Se1 0.5000 0.5000 0.5000
# Energy relative to the elements, uncorrected (meV/atom): 636
# Excess energy over the best structure of this formula in the dataset (kJ/mol of atoms): 0.0



Entry 2:
# AlAs2Se (GGA-PBE, relaxed)
data_AlAs2Se
_chemical_formula_sum 'Al1 As2 Se1'
_cell_length_a 3.8918
_cell_length_b 3.8918
_cell_length_c 5.3383
_cell_angle_alpha 90.00
_cell_angle_beta 90.00
_cell_angle_gamma 90.00
_symmetry_space_group_name_H-M 'P 4/m m m'
_symmetry_Int_Tables_number 123
_symmetry_space_group_name_Hall '-P 4 2'
loop_
_atom_site_label
_atom_site_fract_x
_atom_site_fract_y
_atom_site_fract_z
Al1 0.0000 0.0000 0.0000
As1 0.0000 0.0000 0.5000
As2 0.5000 0.5000 0.5000
Se1 0.5000 0.5000 0.0000
# Energy relative to the elements, uncorrected (meV/atom): -138
# Excess energy over the best structure of this formula in the dataset (kJ/mol of atoms): 12.1



Entry 3:
# Al5As3Se3 (GGA-PBE, relaxed)
data_Al5As3Se3
_chemical_formula_sum 'Al5 As3 Se3'
_cell_length_a 3.9858
_cell_length_b 11.9529
_cell_length_c 5.7256
_cell_angle_alpha 90.00
_cell_angle_beta 90.00
_cell_angle_gamma 90.00
_symmetry_space_group_name_H-M 'P m m 2'
_symmetry_Int_Tables_number 25
_symmetry_space_group_name_Hall 'P 2 -2'
loop_
_atom_site_label
_atom_site_fract_x
_atom_site_fract_y
_atom_site_fract_z
Al1 0.0000 0.0000 0.0000
Al2 0.0000 0.3416 0.0122
Al3 0.5000 0.1690 0.5040
As1 0.0000 0.1724 0.7579
As2 0.5000 0.0000 0.2551
Se1 0.0000 0.5000 0.7710
Se2 0.5000 0.3408 0.2731
# Energy relative to the elements, uncorrected (meV/atom): -645



Entry 4:
# AlAs2Se (GGA-PBE, relaxed)
data_AlAs2Se
_chemical_formula_sum 'Al2 As4 Se2'
_cell_length_a 12.3068
_cell_length_b 3.4749
_cell_length_c 4.6691
_cell_angle_alpha 90.00
_cell_angle_beta 110.79
_cell_angle_gamma 90.00
_symmetry_space_group_name_H-M 'C 1 m 1'
_symmetry_Int_Tables_number 8
_symmetry_space_group_name_Hall 'C -2y'
loop_
_atom_site_label
_atom_site_fract_x
_atom_site_fract_y
_atom_site_fract_z
Al1 0.0000 0.0000 0.0000
As1 0.3412 0.0000 0.0409
As2 0.4914 0.0000 0.5584
Se1 0.1479 0.5000 0.3312
# Energy relative to the elements, uncorrected (meV/atom): -67
# Excess energy over the best structure of this formula in the dataset (kJ/mol of atoms): 19.0



Entry 5:
# AlAs2Se (GGA-PBE, relaxed)
data_AlAs2Se
_chemical_formula_sum 'Al4 As8 Se4'
_cell_length_a 6.7057
_cell_length_b 6.7057
_cell_length_c 6.7057
_cell_angle_alpha 90.00
_cell_angle_beta 90.00
_cell_angle_gamma 90.00
_symmetry_space_group_name_H-M 'F -4 3 m'
_symmetry_Int_Tables_number 216
_symmetry_space_group_name_Hall 'F -4 2 3'
loop_
_atom_site_label
_atom_site_fract_x
_atom_site_fract_y
_atom_site_fract_z
Al1 0.0000 0.0000 0.0000
As1 0.0000 0.0000 0.5000
As2 0.2500 0.2500 0.7500
Se1 0.2500 0.2500 0.2500
# Energy relative to the elements, uncorrected (meV/atom): 279
# Excess energy over the best structure of this formula in the dataset (kJ/mol of atoms): 52.3



Entry 6:
# AlAs2Se (GGA-PBE, relaxed)
data_AlAs2Se
_chemical_formula_sum 'Al2 As4 Se2'
_cell_length_a 3.5848
_cell_length_b 5.7329
_cell_length_c 8.8793
_cell_angle_alpha 90.00
_cell_angle_beta 90.00
_cell_angle_gamma 90.00
_symmetry_space_group_name_H-M 'C m m 2'
_symmetry_Int_Tables_number 35
_symmetry_space_group_name_Hall 'C 2 -2'
loop_
_atom_site_label
_atom_site_fract_x
_atom_site_fract_y
_atom_site_fract_z
Al1 0.0000 0.0000 0.0000
As1 0.0000 0.0000 0.5585
As2 0.0000 0.5000 0.7638
Se1 0.0000 0.5000 0.1774
# Energy relative to the elements, uncorrected (meV/atom): 130
# Excess energy over the best structure of this formula in the dataset (kJ/mol of atoms): 37.9



Entry 7:
# AlAsSe (GGA-PBE, relaxed)
data_AlAsSe
_chemical_formula_sum 'Al4 As4 Se4'
_cell_length_a 6.3475
_cell_length_b 6.3475
_cell_length_c 6.3475
_cell_angle_alpha 90.00
_cell_angle_beta 90.00
_cell_angle_gamma 90.00
_symmetry_space_group_name_H-M 'F -4 3 m'
_symmetry_Int_Tables_number 216
_symmetry_space_group_name_Hall 'F -4 2 3'
loop_
_atom_site_label
_atom_site_fract_x
_atom_site_fract_y
_atom_site_fract_z
Al1 0.0000 0.0000 0.0000
As1 0.2500 0.2500 0.7500
Se1 0.2500 0.2500 0.2500
# Energy relative to the elements, uncorrected (meV/atom): 77



Entry 8:
# AlAs2Se (GGA-PBE, relaxed)
data_AlAs2Se
_chemical_formula_sum 'Al1 As2 Se1'
_cell_length_a 3.1959
_cell_length_b 3.1959
_cell_length_c 7.5442
_cell_angle_alpha 90.00
_cell_angle_beta 90.00
_cell_angle_gamma 90.00
_symmetry_space_group_name_H-M 'P 4/m m m'
_symmetry_Int_Tables_number 123
_symmetry_space_group_name_Hall '-P 4 2'
loop_
_atom_site_label
_atom_site_fract_x
_atom_site_fract_y
_atom_site_fract_z
Al1 0.0000 0.0000 0.0000
As1 0.5000 0.5000 0.2055
Se1 0.0000 0.0000 0.5000
# Energy relative to the elements, uncorrected (meV/atom): 271
# Excess energy over the best structure of this formula in the dataset (kJ/mol of atoms): 51.5